Entry from the Alexandria database: crystalline Hg3GeO at its relaxed geometry (GGA-PBE).

Calculated values
magnetization: 0.00 μB/cell
excess energy over the best structure of this formula in the dataset: 0.0 kJ per mole of atoms
V: 22.32 A^3/atom
DOS(E_F): 3.08 states/eV/cell
raw formation energy: 2.10 eV per formula unit

Lattice parameters (Å, degrees): 4.814 4.814 4.814 90.00 90.00 90.00
Element x y z (fractional)
Hg 0.000 0.000 0.500
Hg 0.000 0.500 0.000
Hg 0.500 0.000 0.000
Ge 0.500 0.500 0.500
O 0.000 0.000 0.000